[1]
This record from the Alexandria database describes a relaxed Li2YAuO crystal. The functional is PBE-GGA.

```
Li2YAuO
1.0
-1.4931 -1.9780 3.4725
2.1672 -3.5153 -1.0705
3.5538 1.4705 2.3657
Au Li Y O
1 2 1 1
Cartesian
2.1140 -2.0114 2.3839
1.0836 -1.7577 -0.5352
-0.7466 -0.9890 1.7363
1.7769 0.7353 1.1829
0.0000 0.0000 0.0000
```

Properties
Space-group type: P4/mmm
N(E_F): 1.812 states/eV/cell
Raw formation energy: -6.936 eV per formula unit



[2]
This record from the Alexandria database describes a relaxed SrPd crystal. The functional is PBE-GGA.

```
SrPd
1.0
-2.6258 0.7630 -7.9653
4.0356 -7.1127 -2.0117
-6.9096 -4.4441 1.8521
Sr Pd
6 6
Cartesian
1.7138 -4.9530 -5.4914
-0.3040 -1.3967 -4.4856
-5.4242 -1.6498 -5.0480
0.2904 -4.6674 -0.5428
-4.1113 -2.0313 -1.0653
-3.1644 -6.8895 0.3832
-3.0403 -0.7295 -3.5196
0.0484 -2.9841 -6.9798
-0.4281 -7.5566 -0.5827
-6.4951 -2.9516 -2.5936
1.3613 -3.3656 -2.9972
-2.4459 -4.0003 0.4231
```

Properties
Calculated formation energy: -0.020 eV/atom
Space-group type: Pm-3n



[3]
This record from the Alexandria database describes a relaxed LaTiIr2 crystal. The functional is PBE-GGA.

```
LaTiIr2
1.0
-2.5406 -6.8595 0.0590
1.8584 -0.7488 -7.0354
2.4009 -4.8126 -2.6565
Ir La Ti
4 2 2
Cartesian
1.3377 -2.8161 -5.0514
-0.6489 -5.2964 -1.5092
1.1259 -10.2354 -7.8019
1.6228 -6.4940 -4.9034
0.0000 0.0000 0.0000
-0.2404 -7.7381 -3.0429
-0.3411 -3.8042 -3.4882
1.9591 -4.6828 -6.5901
```

Properties
Calculated formation energy: -0.285 eV/atom
Space-group type: I-42d
N(E_F): 6.102 states/eV/cell
Polymorph energy (0 for the lowest one): 394 meV per atom



[4]
This record from the Alexandria database describes a relaxed BaGaSnH2 crystal. The functional is PBE-GGA.

```
BaGaSnH2
1.0
4.4177 0.0000 0.0000
0.0000 7.0142 0.0000
0.0000 0.0000 4.4177
H Sn Ba Ga
2 1 1 1
Cartesian
2.2088 0.0000 0.0000
0.0000 0.0000 2.2088
0.0000 0.0000 0.0000
0.0000 3.5071 0.0000
2.2088 3.5071 2.2088
```

Properties
Space-group type: P4/mmm
N(E_F): 3.753 states/eV/cell
E: -2.594 eV/atom



[5]
This record from the Alexandria database describes a relaxed SrCdGaPd crystal. The functional is PBE-GGA.

```
SrCdGaPd
1.0
-1.9482 3.5836 1.9282
-1.2291 -0.1622 4.3381
4.0205 3.0883 3.6009
Cd Pd Ga Sr
1 1 1 1
Cartesian
3.7544 2.9863 3.5217
-0.2621 1.4461 2.3260
-1.2479 2.6147 4.4366
-0.4012 4.4859 7.0927
```

Properties
Calculated formation energy: -0.472 eV/atom
Space-group type: R3m
N(E_F): 2.526 states/eV/cell



[6]
This record from the Alexandria database describes a relaxed CeCdPd crystal. The functional is PBE-GGA.

```
CeCdPd
1.0
5.8954 0.0000 -1.0656
0.0000 4.8165 0.0000
-3.0490 0.0000 5.1545
Cd Pd Ce
2 2 2
Cartesian
2.0365 3.6124 0.1048
0.8099 1.2041 3.9841
0.5147 1.2041 1.1521
2.3317 3.6124 2.9368
-0.7192 3.6124 2.0201
3.5656 1.2041 2.0688
```

Properties
Calculated formation energy: -0.478 eV/atom
Space-group type: P2_1/m
N(E_F): 9.440 states/eV/cell